Record 1
Material: KNCl2
Method: DFT, GGA-PBE
State: optimized geometry

Properties
Energy above the lowest structure with this stoichiometry ... 0 meV per atom

abc: 10.0817 5.1391 8.9012
angles: 90.00 90.00 90.00
Closest atoms and distances in Å follow each position.
Space group Pnma (No. 62)
One atom of each set of equivalent atoms:
K1 0.1437 0.2500 0.1083 x4  2 N 3.17, 4 Cl 3.17-3.20
N1 0.0443 0.7500 0.2832 x4  1 Cl 1.60
Cl1 0.0812 0.2500 0.6072 x4  1 N 1.60
Cl2 0.1710 0.7500 0.9006 x4  1 Cl 3.10, 4 K 3.17-3.20

Record 2
Material: K4N3Cl4
Method: DFT, GGA-PBE
State: optimized geometry

abc: 12.5185 5.9988 7.6459
angles: 90.00 90.00 90.00
Closest atoms and distances in Å follow each position.
Space group Amm2 (No. 38)
One atom of each set of equivalent atoms:
K1 0.0000 0.0000 0.0000 x2  3 N 2.72-2.83
K2 0.2291 0.0000 0.6340 x4  4 N 2.87-3.09, 2 Cl 3.20
K3 0.5000 0.0000 0.9536 x2  5 Cl 3.03-3.18
N1 0.0000 0.0000 0.6442 x2  1 Cl 1.71
N2 0.2250 0.0000 0.0348 x4  1 Cl 1.70
Cl1 0.0000 0.0000 0.4202 x2  1 N 1.71
Cl2 0.3029 0.0000 0.2164 x4  1 N 1.70
Cl3 0.5000 0.0000 0.5572 x2  3 K 3.03-3.10

Record 3
Material: K2N2Cl5
Method: DFT, GGA-PBE
State: optimized geometry

abc: 10.3299 6.3111 7.6096
angles: 90.00 90.00 90.00
Closest atoms and distances in Å follow each position.
Space group Amm2 (No. 38)
One atom of each set of equivalent atoms:
K1 0.0000 0.0000 0.0000 x2  2 N 3.05, 8 Cl 3.27-3.31
K2 0.5000 0.0000 0.0480 x2  3 Cl 3.10-3.23
N1 0.1348 0.0000 0.3568 x4  2 Cl 1.76
Cl1 0.2095 0.2240 0.2628 x8  1 N 1.76
Cl2 0.5000 0.0000 0.6402 x2  3 K 3.10-3.23

Record 4
Material: K3NCl
Method: DFT, GGA-PBE
State: optimized geometry

Properties
Energy above the lowest structure with this stoichiometry ... 0 meV per atom

abc: 5.3725 5.3725 5.3725
angles: 90.00 90.00 90.00
Closest atoms and distances in Å follow each position.
Space group Pm-3m (No. 221)
One atom of each set of equivalent atoms:
K1 0.0000 0.0000 0.5000 x3  2 N 2.69
N1 0.0000 0.0000 0.0000 x1  6 K 2.69
Cl1 0.5000 0.5000 0.5000 x1  12 K 3.80

Record 5
Material: KN2Cl2
Method: DFT, GGA-PBE
State: optimized geometry

abc: 18.2135 3.6883 3.6867
angles: 90.00 101.31 90.00
Closest atoms and distances in Å follow each position.
Space group C2/m (No. 12)
One atom of each set of equivalent atoms:
K1 0.0000 0.0000 0.0000 x2  8 N 3.00-3.01
N1 0.0833 0.5000 0.5795 x4  1 Cl 1.63
Cl1 0.1744 0.5000 0.6679 x4  1 N 1.63

Record 6
Material: K7N12Cl
Method: DFT, GGA-PBE
State: optimized geometry

abc: 11.6820 11.6820 11.2091
angles: 90.00 90.00 120.00
Closest atoms and distances in Å follow each position.
Space group R-3 (No. 148, hexagonal axes)
One atom of each set of equivalent atoms:
K1 0.0000 0.0000 0.0000 x3  12 N 3.12-3.25
K2 0.0608 0.2442 0.6513 x18  3 N 2.71-3.01
N1 0.0128 0.2399 0.1352 x18  1 N 1.18
N2 0.0823 0.2262 0.2034 x18  1 N 1.18
Cl1 0.0000 0.0000 0.5000 x3  6 K 3.08

Record 7
Material: KN3Cl
Method: DFT, GGA-PBE
State: optimized geometry

abc: 4.1304 4.1304 4.1304
angles: 90.00 90.00 90.00
Closest atoms and distances in Å follow each position.
Space group Pm-3m (No. 221)
One atom of each set of equivalent atoms:
K1 0.0000 0.0000 0.0000 x1  12 N 2.92
N1 0.0000 0.5000 0.5000 x3  2 Cl 2.07
Cl1 0.5000 0.5000 0.5000 x1  6 N 2.07

Record 8
Material: KNCl2
Method: DFT, GGA-PBE
State: optimized geometry

Properties
Energy above the lowest structure with this stoichiometry ... 284 meV per atom

abc: 4.9709 4.9709 21.1079
angles: 90.00 90.00 120.00
Closest atoms and distances in Å follow each position.
Space group R-3m (No. 166, hexagonal axes)
One atom of each set of equivalent atoms:
K1 0.0000 0.0000 0.0000 x3  6 Cl 3.20
N1 0.0000 0.0000 0.5000 x3  2 Cl 2.09
Cl1 0.0000 0.0000 0.4008 x6  1 N 2.09

Record 9
Material: KNCl2
Method: DFT, GGA-PBE
State: optimized geometry

Properties
Energy above the lowest structure with this stoichiometry ... 721 meV per atom

abc: 7.4292 7.4292 7.4292
angles: 90.00 90.00 90.00
Closest atoms and distances in Å follow each position.
Space group Fm-3m (No. 225)
One atom of each set of equivalent atoms:
K1 0.0000 0.0000 0.0000 x4  8 Cl 3.22
N1 0.0000 0.0000 0.5000 x4  8 Cl 3.22
Cl1 0.2500 0.2500 0.2500 x8  4 N 3.22, 4 K 3.22

Record 10
Material: KN2Cl6
Method: DFT, GGA-PBE
State: optimized geometry

abc: 6.2210 6.4613 7.7499
angles: 82.31 85.88 67.73
Closest atoms and distances in Å follow each position.
Space group P-1 (No. 2)
One atom of each set of equivalent atoms:
K1 0.0000 0.0000 0.0000 x1  8 Cl 3.31-3.56
N1 0.3478 0.3316 0.3396 x2  8 Cl 3.40-3.57
Cl1 0.1527 0.8894 0.4192 x2  2 Cl 2.30-2.38
Cl2 0.1688 0.4331 0.9080 x2  2 Cl 2.38-2.39
Cl3 0.4818 0.7965 0.2268 x2  2 Cl 2.38

Record 11
Material: KN3Cl
Method: DFT, GGA-PBE
State: optimized geometry

abc: 5.1045 5.1045 5.1045
angles: 90.00 90.00 90.00
Closest atoms and distances in Å follow each position.
Space group Pm-3m (No. 221)
One atom of each set of equivalent atoms:
K1 0.0000 0.0000 0.0000 x1  6 N 2.55
N1 0.0000 0.0000 0.5000 x3  2 K 2.55
Cl1 0.5000 0.5000 0.5000 x1  12 N 3.61

Record 12
Material: KNCl2
Method: DFT, GGA-PBE
State: optimized geometry

Properties
Energy above the lowest structure with this stoichiometry ... 340 meV per atom

abc: 6.5011 6.5011 9.6057
angles: 90.00 90.00 90.00
Closest atoms and distances in Å follow each position.
Space group I4_1/amd (No. 141, origin choice 2)
One atom of each set of equivalent atoms:
K1 0.0000 0.2500 0.3750 x4  12 Cl 3.83-3.95, 4 K 4.04, 4 N 4.04
N1 0.0000 0.2500 0.8750 x4  4 Cl 2.02
Cl1 0.0000 0.0000 0.0000 x8  2 N 2.02

Record 13
Material: KPtNCl3O
Method: DFT, GGA-PBE
State: optimized geometry

abc: 4.6980 19.4241 7.8316
angles: 90.00 90.00 90.00
Closest atoms and distances in Å follow each position.
Space group Cmc2_1 (No. 36)
One atom of each set of equivalent atoms:
K1 0.0000 0.1000 0.0000 x4  2 O 2.75-2.79
Pt1 0.0000 0.3275 0.0199 x4  1 N 1.81
N1 0.0000 0.2564 0.8699 x4  1 Pt 1.81
Cl1 0.0000 0.2500 0.2481 x4  1 Pt 2.34, 2 N 2.54
Cl2 0.0000 0.4085 0.8035 x4  1 Pt 2.31
Cl3 0.0000 0.4190 0.2216 x4  1 Pt 2.38
O1 0.0000 0.0098 0.2713 x4  2 K 2.75-2.79, 4 Cl 2.85-2.96

Record 14
Material: KP2NCl
Method: DFT, GGA-PBE
State: optimized geometry

Properties
Energy above the lowest structure with this stoichiometry ... 1546 meV per atom

abc: 7.5728 7.5728 5.7544
angles: 90.00 90.00 90.00
Closest atoms and distances in Å follow each position.
Space group P4/mmm (No. 123)
One atom of each set of equivalent atoms:
K1 0.0000 0.0000 0.0000 x1  2 Cl 2.88
P1 0.0000 0.5000 0.0000 x2  2 K 3.79
N1 0.5000 0.5000 0.5000 x1  8 P 4.76
Cl1 0.0000 0.0000 0.5000 x1  2 K 2.88

Record 15
Material: KPNCl2
Method: DFT, GGA-PBE
State: optimized geometry

Properties
Energy above the lowest structure with this stoichiometry ... 0 meV per atom

abc: 6.1637 6.1637 3.2983
angles: 90.00 90.00 90.00
Closest atoms and distances in Å follow each position.
Space group P4/mmm (No. 123)
One atom of each set of equivalent atoms:
K1 0.0000 0.0000 0.0000 x1  2 K 3.30, 8 Cl 3.50
P1 0.5000 0.5000 0.0000 x1  2 N 1.65
N1 0.5000 0.5000 0.5000 x1  2 P 1.65
Cl1 0.0000 0.5000 0.5000 x2  2 N 3.08, 2 Cl 3.30

Record 16
Material: KPNCl2
Method: DFT, GGA-PBE
State: optimized geometry

Properties
Energy above the lowest structure with this stoichiometry ... 1319 meV per atom

abc: 6.0426 6.0426 7.4188
angles: 90.00 90.00 90.00
Closest atoms and distances in Å follow each position.
Space group P4/mmm (No. 123)
One atom of each set of equivalent atoms:
K1 0.0000 0.0000 0.0000 x1  4 Cl 3.02
P1 0.0000 0.0000 0.5000 x1  2 K 3.71
N1 0.5000 0.5000 0.5000 x1  4 P 4.27, 8 Cl 4.78
Cl1 0.0000 0.5000 0.0000 x2  2 K 3.02

Record 17
Material: KP2NCl
Method: DFT, GGA-PBE
State: optimized geometry

Properties
Energy above the lowest structure with this stoichiometry ... 0 meV per atom

abc: 3.9632 3.9632 8.2442
angles: 90.00 90.00 90.00
Closest atoms and distances in Å follow each position.
Space group P4/mmm (No. 123)
One atom of each set of equivalent atoms:
K1 0.0000 0.0000 0.0000 x1  4 Cl 2.80
P1 0.0000 0.5000 0.5000 x2  2 N 1.98
N1 0.5000 0.5000 0.5000 x1  4 P 1.98
Cl1 0.5000 0.5000 0.0000 x1  4 K 2.80

Record 18
Material: KSN2Cl
Method: DFT, GGA-PBE
State: optimized geometry

Properties
Energy above the lowest structure with this stoichiometry ... 0 meV per atom

abc: 4.6435 4.6435 4.8041
angles: 90.00 90.00 90.00
Closest atoms and distances in Å follow each position.
Space group P4/mmm (No. 123)
One atom of each set of equivalent atoms:
K1 0.0000 0.0000 0.0000 x1  4 S 3.28, 8 N 3.34
S1 0.5000 0.5000 0.0000 x1  2 Cl 2.40
N1 0.0000 0.5000 0.5000 x2  2 Cl 2.32
Cl1 0.5000 0.5000 0.5000 x1  4 N 2.32, 2 S 2.40

Record 19
Material: KSN2Cl
Method: DFT, GGA-PBE
State: optimized geometry

Properties
Energy above the lowest structure with this stoichiometry ... 360 meV per atom

abc: 5.4618 5.4618 6.1338
angles: 90.00 90.00 90.00
Closest atoms and distances in Å follow each position.
Space group P4/mmm (No. 123)
One atom of each set of equivalent atoms:
K1 0.0000 0.0000 0.0000 x1  4 N 2.73
S1 0.0000 0.0000 0.5000 x1  2 K 3.07
N1 0.0000 0.5000 0.0000 x2  2 K 2.73
Cl1 0.5000 0.5000 0.5000 x1  4 S 3.86, 8 N 4.11

Record 20
Material: KSeN2Cl
Method: DFT, GGA-PBE
State: optimized geometry

Properties
Energy above the lowest structure with this stoichiometry ... 352 meV per atom

abc: 5.1469 5.1469 6.4220
angles: 90.00 90.00 90.00
Closest atoms and distances in Å follow each position.
Space group P4/mmm (No. 123)
One atom of each set of equivalent atoms:
K1 0.0000 0.0000 0.0000 x1  4 N 2.57
Se1 0.0000 0.0000 0.5000 x1  2 K 3.21
N1 0.0000 0.5000 0.0000 x2  2 K 2.57
Cl1 0.5000 0.5000 0.5000 x1  4 Se 3.64

| no. | magnetization (μB per formula unit) | theoretical density (g cm⁻³) | raw formation energy (meV/atom) |
| --- | --- | --- | --- |
| 1 | 1.97 | 1.79 | -177 |
| 2 | 3.00 | 1.97 | -102 |
| 3 | 1.01 | 1.90 | -191 |
| 4 | 1.00 | 1.79 | -348 |
| 5 | 3.00 | 1.89 | 696 |
| 6 | 5.74 | 1.79 | -289 |
| 7 | 3.52 | 2.75 | 2375 |
| 8 | 2.00 | 1.37 | 108 |
| 9 | 2.00 | 2.01 | 544 |
| 10 | 6.00 | 1.63 | 771 |
| 11 | 9.00 | 1.46 | 2685 |
| 12 | 0.00 | 2.03 | 164 |
| 13 | 2.94 | 3.44 | 95 |
| 14 | 8.87 | 0.76 | 1826 |
| 15 | 0.00 | 2.05 | -68 |
| 16 | 4.99 | 0.95 | 1251 |
| 17 | 0.57 | 1.93 | 280 |
| 18 | 4.36 | 2.16 | 1740 |
| 19 | 8.02 | 1.22 | 2101 |
| 20 | 5.68 | 1.77 | 2077 |